No. 1
# La4PrSmHo2 | Alexandria | PBE | optimized geometry
# Electronic total energy (eV per atom): -4.7822
# ΔH_f (0 K) (eV/atom): 0.013
# Calculated density (g cm⁻³): 7.02
# Fermi-level density of states (states/eV/atom): 1.434
data_La4PrSmHo2
_space_group_name_H-M_alt 'P 1'
_space_group_IT_number 1
_cell_length_a 6.374
_cell_length_b 3.684
_cell_length_c 12.036
_cell_angle_alpha 90.00
_cell_angle_beta 100.17
_cell_angle_gamma 90.00
loop_
_space_group_symop_operation_xyz
'x,y,z'
loop_
_atom_site_label
_atom_site_type_symbol
_atom_site_fract_x
_atom_site_fract_y
_atom_site_fract_z
La1 La 0.247 0.000 0.245
La2 La 0.251 0.500 0.754
La3 La 0.749 0.500 0.246
La4 La 0.753 0.000 0.755
Pr1 Pr 0.500 0.500 0.500
Sm1 Sm 0.000 0.000 0.500
Ho1 Ho 0.000 0.500 0.000
Ho2 Ho 0.500 0.000 0.000

No. 2
# HfCr2Ir | Alexandria | PBE | optimized geometry
# Electronic total energy (eV per atom): -9.5027
# ΔH_f (0 K) (eV/atom): 0.013
# Energy above the most stable polymorph in this dataset (meV per atom): 0
# Calculated density (g cm⁻³): 13.58
# Fermi-level density of states (states/eV/atom): 1.469
data_HfCr2Ir
_space_group_name_H-M_alt 'P 1'
_space_group_IT_number 1
_cell_length_a 4.346
_cell_length_b 4.346
_cell_length_c 4.346
_cell_angle_alpha 60.00
_cell_angle_beta 60.00
_cell_angle_gamma 60.00
loop_
_space_group_symop_operation_xyz
'x,y,z'
loop_
_atom_site_label
_atom_site_type_symbol
_atom_site_fract_x
_atom_site_fract_y
_atom_site_fract_z
Hf1 Hf 0.000 0.000 0.000
Cr1 Cr 0.250 0.250 0.250
Cr2 Cr 0.750 0.750 0.750
Ir1 Ir 0.500 0.500 0.500

No. 3
# V2CrGePb | Alexandria | PBE | optimized geometry
# Electronic total energy (eV per atom): -5.1037
# ΔH_f (0 K) (eV/atom): 2.134
# Calculated density (g cm⁻³): 6.18
# Fermi-level density of states (states/eV/atom): 2.445
data_V2CrGePb
_space_group_name_H-M_alt 'P 1'
_space_group_IT_number 1
_cell_length_a 4.916
_cell_length_b 4.916
_cell_length_c 4.821
_cell_angle_alpha 90.00
_cell_angle_beta 90.00
_cell_angle_gamma 90.00
loop_
_space_group_symop_operation_xyz
'x,y,z'
loop_
_atom_site_label
_atom_site_type_symbol
_atom_site_fract_x
_atom_site_fract_y
_atom_site_fract_z
V1 V 0.000 0.500 0.000
V2 V 0.500 0.000 0.000
Cr1 Cr 0.000 0.000 0.500
Ge1 Ge 0.500 0.500 0.500
Pb1 Pb 0.000 0.000 0.000

No. 4
# PmYCdCo | Alexandria | PBE | optimized geometry
# Electronic total energy (eV per atom): -5.0125
# ΔH_f (0 K) (eV/atom): -0.204
# Energy above the most stable polymorph in this dataset (meV per atom): 0
# Calculated density (g cm⁻³): 7.16
# Fermi-level density of states (states/eV/atom): 0.715
data_PmYCdCo
_space_group_name_H-M_alt 'P 1'
_space_group_IT_number 1
_cell_length_a 3.482
_cell_length_b 3.482
_cell_length_c 7.752
_cell_angle_alpha 90.00
_cell_angle_beta 90.00
_cell_angle_gamma 90.00
loop_
_space_group_symop_operation_xyz
'x,y,z'
loop_
_atom_site_label
_atom_site_type_symbol
_atom_site_fract_x
_atom_site_fract_y
_atom_site_fract_z
Pm1 Pm 0.000 0.000 0.000
Y1 Y 0.000 0.000 0.574
Cd1 Cd 0.500 0.500 0.296
Co1 Co 0.500 0.500 0.779

No. 5
# LaOsF | Alexandria | PBE | optimized geometry
# Electronic total energy (eV per atom): -7.7331
# Calculated density (g cm⁻³): 9.08
# Uncorrected formation energy (kJ per mole of atoms): -166.3
# Fermi-level density of states (states/eV/atom): 0.392
data_LaOsF
_space_group_name_H-M_alt 'P 1'
_space_group_IT_number 1
_cell_length_a 9.029
_cell_length_b 9.029
_cell_length_c 9.029
_cell_angle_alpha 26.30
_cell_angle_beta 26.30
_cell_angle_gamma 26.30
loop_
_space_group_symop_operation_xyz
'x,y,z'
loop_
_atom_site_label
_atom_site_type_symbol
_atom_site_fract_x
_atom_site_fract_y
_atom_site_fract_z
La1 La 0.000 0.000 0.000
La2 La 0.481 0.481 0.481
Os1 Os 0.238 0.238 0.238
Os2 Os 0.594 0.594 0.594
F1 F 0.381 0.381 0.381
F2 F 0.780 0.780 0.780

No. 6
# Ac2AsRh | Alexandria | PBE | optimized geometry
# Electronic total energy (eV per atom): -5.8582
# ΔH_f (0 K) (eV/atom): -0.804
# Energy above the most stable polymorph in this dataset (meV per atom): 181
# Calculated density (g cm⁻³): 9.60
# Fermi-level density of states (states/eV/atom): 0.416
data_Ac2AsRh
_space_group_name_H-M_alt 'P 1'
_space_group_IT_number 1
_cell_length_a 5.330
_cell_length_b 5.330
_cell_length_c 3.849
_cell_angle_alpha 90.00
_cell_angle_beta 90.00
_cell_angle_gamma 90.00
loop_
_space_group_symop_operation_xyz
'x,y,z'
loop_
_atom_site_label
_atom_site_type_symbol
_atom_site_fract_x
_atom_site_fract_y
_atom_site_fract_z
Ac1 Ac 0.000 0.500 0.000
Ac2 Ac 0.500 0.000 0.000
As1 As 0.000 0.000 0.500
Rh1 Rh 0.500 0.500 0.500

No. 7
# TaNiAs2 | Alexandria | PBE | optimized geometry
# Electronic total energy (eV per atom): -6.6414
# ΔH_f (0 K) (eV/atom): 0.092
# Calculated density (g cm⁻³): 10.02
# Fermi-level density of states (states/eV/atom): 0.608
data_TaNiAs2
_space_group_name_H-M_alt 'P 1'
_space_group_IT_number 1
_cell_length_a 5.020
_cell_length_b 5.020
_cell_length_c 2.916
_cell_angle_alpha 103.68
_cell_angle_beta 103.68
_cell_angle_gamma 106.83
loop_
_space_group_symop_operation_xyz
'x,y,z'
loop_
_atom_site_label
_atom_site_type_symbol
_atom_site_fract_x
_atom_site_fract_y
_atom_site_fract_z
Ta1 Ta 0.000 0.000 0.000
Ni1 Ni 0.500 0.500 0.000
As1 As 0.000 0.500 0.500
As2 As 0.500 0.000 0.500

No. 8
# CsGaTeI2 | Alexandria | PBE | optimized geometry
# Electronic total energy (eV per atom): -2.6341
# Energy above the most stable polymorph in this dataset (meV per atom): 0
# Calculated density (g cm⁻³): 4.80
# Uncorrected formation energy (kJ per mole of atoms): -58.8
# Fermi-level density of states (states/eV/atom): 0.983
data_CsGaTeI2
_space_group_name_H-M_alt 'P 1'
_space_group_IT_number 1
_cell_length_a 6.079
_cell_length_b 6.079
_cell_length_c 5.471
_cell_angle_alpha 90.00
_cell_angle_beta 90.00
_cell_angle_gamma 90.00
loop_
_space_group_symop_operation_xyz
'x,y,z'
loop_
_atom_site_label
_atom_site_type_symbol
_atom_site_fract_x
_atom_site_fract_y
_atom_site_fract_z
Cs1 Cs 0.000 0.000 0.000
Ga1 Ga 0.500 0.500 0.500
Te1 Te 0.500 0.500 0.000
I1 I 0.000 0.500 0.500
I2 I 0.500 0.000 0.500

No. 9
# NaIrRhO4 | Alexandria | PBE | optimized geometry
# Electronic total energy (eV per atom): -6.2650
# Calculated density (g cm⁻³): 7.08
# Uncorrected formation energy (kJ per mole of atoms): -89.5
# Fermi-level density of states (states/eV/atom): 0.885
data_NaIrRhO4
_space_group_name_H-M_alt 'P 1'
_space_group_IT_number 1
_cell_length_a 6.324
_cell_length_b 6.324
_cell_length_c 6.324
_cell_angle_alpha 120.40
_cell_angle_beta 119.25
_cell_angle_gamma 90.31
loop_
_space_group_symop_operation_xyz
'x,y,z'
loop_
_atom_site_label
_atom_site_type_symbol
_atom_site_fract_x
_atom_site_fract_y
_atom_site_fract_z
Na1 Na 0.377 0.127 0.250
Na2 Na 0.623 0.873 0.750
Ir1 Ir 0.000 0.500 0.500
Ir2 Ir 0.500 0.500 0.000
Rh1 Rh 0.000 0.000 0.500
Rh2 Rh 0.000 0.500 0.000
O1 O 0.185 0.726 0.459
O2 O 0.232 0.279 0.547
O3 O 0.232 0.686 0.953
O4 O 0.233 0.274 0.959
O5 O 0.767 0.726 0.041
O6 O 0.768 0.314 0.047
O7 O 0.768 0.721 0.453
O8 O 0.815 0.274 0.541

No. 10
# BaAlMo2 | Alexandria | PBE | optimized geometry
# Electronic total energy (eV per atom): -5.6826
# ΔH_f (0 K) (eV/atom): 1.149
# Calculated density (g cm⁻³): 7.65
# Fermi-level density of states (states/eV/atom): 1.120
data_BaAlMo2
_space_group_name_H-M_alt 'P 1'
_space_group_IT_number 1
_cell_length_a 4.713
_cell_length_b 4.713
_cell_length_c 3.479
_cell_angle_alpha 90.00
_cell_angle_beta 90.00
_cell_angle_gamma 90.00
loop_
_space_group_symop_operation_xyz
'x,y,z'
loop_
_atom_site_label
_atom_site_type_symbol
_atom_site_fract_x
_atom_site_fract_y
_atom_site_fract_z
Ba1 Ba 0.000 0.000 0.000
Al1 Al 0.500 0.500 0.000
Mo1 Mo 0.000 0.500 0.500
Mo2 Mo 0.500 0.000 0.500

No. 11
# Zn2GeO | Alexandria | PBE | optimized geometry
# Electronic total energy (eV per atom): -2.7253
# Energy above the most stable polymorph in this dataset (meV per atom): 732
# Calculated density (g cm⁻³): 6.22
# Uncorrected formation energy (kJ per mole of atoms): 29.5
# Fermi-level density of states (states/eV/atom): 1.249
data_Zn2GeO
_space_group_name_H-M_alt 'P 1'
_space_group_IT_number 1
_cell_length_a 4.360
_cell_length_b 4.360
_cell_length_c 4.360
_cell_angle_alpha 60.00
_cell_angle_beta 60.00
_cell_angle_gamma 60.00
loop_
_space_group_symop_operation_xyz
'x,y,z'
loop_
_atom_site_label
_atom_site_type_symbol
_atom_site_fract_x
_atom_site_fract_y
_atom_site_fract_z
Zn1 Zn 0.250 0.250 0.250
Zn2 Zn 0.750 0.750 0.750
Ge1 Ge 0.000 0.000 0.000
O1 O 0.500 0.500 0.500

No. 12
# La5Sb3Br | Alexandria | PBE | optimized geometry
# Electronic total energy (eV per atom): -5.5387
# Calculated density (g cm⁻³): 6.89
# Uncorrected formation energy (kJ per mole of atoms): -119.8
# Fermi-level density of states (states/eV/atom): 0.770
data_La5Sb3Br
_space_group_name_H-M_alt 'P 1'
_space_group_IT_number 1
_cell_length_a 9.654
_cell_length_b 9.654
_cell_length_c 6.804
_cell_angle_alpha 90.00
_cell_angle_beta 90.00
_cell_angle_gamma 120.00
loop_
_space_group_symop_operation_xyz
'x,y,z'
loop_
_atom_site_label
_atom_site_type_symbol
_atom_site_fract_x
_atom_site_fract_y
_atom_site_fract_z
La1 La 0.000 0.275 0.250
La2 La 0.000 0.725 0.750
La3 La 0.275 0.000 0.250
La4 La 0.275 0.275 0.750
La5 La 0.333 0.667 0.000
La6 La 0.333 0.667 0.500
La7 La 0.667 0.333 0.000
La8 La 0.667 0.333 0.500
La9 La 0.725 0.000 0.750
La10 La 0.725 0.725 0.250
Sb1 Sb 0.000 0.383 0.750
Sb2 Sb 0.000 0.617 0.250
Sb3 Sb 0.383 0.000 0.750
Sb4 Sb 0.383 0.383 0.250
Sb5 Sb 0.617 0.000 0.250
Sb6 Sb 0.617 0.617 0.750
Br1 Br 0.000 0.000 0.000
Br2 Br 0.000 0.000 0.500

No. 13
# LiGaSi | Alexandria | PBE | optimized geometry
# Electronic total energy (eV per atom): -3.3828
# Calculated density (g cm⁻³): 3.65
# Uncorrected formation energy (kJ per mole of atoms): 6.9
# Fermi-level density of states (states/eV/atom): 0.308
data_LiGaSi
_space_group_name_H-M_alt 'P 1'
_space_group_IT_number 1
_cell_length_a 4.370
_cell_length_b 4.370
_cell_length_c 5.767
_cell_angle_alpha 90.00
_cell_angle_beta 90.00
_cell_angle_gamma 120.00
loop_
_space_group_symop_operation_xyz
'x,y,z'
loop_
_atom_site_label
_atom_site_type_symbol
_atom_site_fract_x
_atom_site_fract_y
_atom_site_fract_z
Li1 Li 0.333 0.667 0.250
Li2 Li 0.667 0.333 0.750
Ga1 Ga 0.000 0.000 0.000
Ga2 Ga 0.000 0.000 0.500
Si1 Si 0.333 0.667 0.750
Si2 Si 0.667 0.333 0.250